*w*
The following is a PBE-GGA calculation of a relaxed CsSr2Zn2 crystal, from Alexandria via LeMat-Bulk.

As for the crystal system: tetragonal.

abc: 9.7286 9.7286 3.9033
angles: 90.00 90.00 90.00
Space group P4/mbm (No. 127)
Symmetry-distinct sites (fractional):
Cs 0.0000 0.0000 0.0000 [2 per cell]
Sr 0.1344 0.3656 0.0000 [4 per cell]
Zn 0.1556 0.6556 0.5000 [4 per cell]

---

*x*
The following is a PBE-GGA calculation of a relaxed CsSr2Zn2 crystal, from Alexandria via LeMat-Bulk.

As for the crystal system: tetragonal.

abc: 9.1977 9.1977 4.6735
angles: 90.00 90.00 90.00
Space group P4/mbm (No. 127)
Symmetry-distinct sites (fractional):
Cs 0.0000 0.0000 0.0000 [2 per cell]
Sr 0.1582 0.3418 0.5000 [4 per cell]
Zn 0.1044 0.6044 0.0000 [4 per cell]

---

It is *w* that is the least stable of them.

---

*w*
The following is a PBE-GGA calculation of a relaxed CsSr2Zn2 crystal, from Alexandria via LeMat-Bulk.

As for the crystal system: tetragonal.

abc: 5.9405 5.9405 11.4241
angles: 90.00 90.00 90.00
Space group I4/mmm (No. 139)
Symmetry-distinct sites (fractional):
Cs 0.0000 0.0000 0.0000 [2 per cell]
Sr 0.0000 0.5000 0.2500 [4 per cell]
Zn 0.0000 0.0000 0.3897 [4 per cell]

---

*x*
The following is a PBE-GGA calculation of a relaxed CsSr2Zn2 crystal, from Alexandria via LeMat-Bulk.

As for the crystal system: tetragonal.

abc: 6.0968 6.0968 12.9903
angles: 90.00 90.00 90.00
Space group I4/mmm (No. 139)
Symmetry-distinct sites (fractional):
Cs 0.0000 0.0000 0.0000 [2 per cell]
Sr 0.0000 0.0000 0.3350 [4 per cell]
Zn 0.0000 0.5000 0.2500 [4 per cell]

---

It is *x* that is the least stable of them.

---

*w*
The following is a PBE-GGA calculation of a relaxed CsSrZn2 crystal, from Alexandria via LeMat-Bulk.

As for the crystal system: tetragonal.

abc: 9.2103 9.2103 8.2078
angles: 90.00 90.00 90.00
Space group I-42d (No. 122)
Symmetry-distinct sites (fractional):
Cs 0.0000 0.0000 0.0000 [4 per cell]
Sr 0.0000 0.0000 0.5000 [4 per cell]
Zn 0.2181 0.2500 0.6250 [8 per cell]

---

*x*
The following is a PBE-GGA calculation of a relaxed CsSrZn2 crystal, from Alexandria via LeMat-Bulk.

As for the crystal system: cubic.

abc: 8.2915 8.2915 8.2915
angles: 90.00 90.00 90.00
Space group Fm-3m (No. 225)
Symmetry-distinct sites (fractional):
Cs 0.0000 0.0000 0.0000 [4 per cell]
Sr 0.0000 0.0000 0.5000 [4 per cell]
Zn 0.2500 0.2500 0.2500 [8 per cell]

---

It is *w* that is the least stable of them.

---

*w*
The following is a PBE-GGA calculation of a relaxed Cs2SrZn crystal, from Alexandria via LeMat-Bulk.

As for the crystal system: tetragonal.

abc: 13.2792 13.2792 6.5828
angles: 90.00 90.00 90.00
Space group I-42d (No. 122)
Symmetry-distinct sites (fractional):
Cs 0.1226 0.2500 0.1250 [8 per cell]
Sr 0.0000 0.0000 0.5000 [4 per cell]
Zn 0.0000 0.0000 0.0000 [4 per cell]

---

*x*
The following is a PBE-GGA calculation of a relaxed Cs2SrZn crystal, from Alexandria via LeMat-Bulk.

As for the crystal system: cubic.

abc: 10.3300 10.3300 10.3300
angles: 90.00 90.00 90.00
Space group Fm-3m (No. 225)
Symmetry-distinct sites (fractional):
Cs 0.2500 0.2500 0.2500 [8 per cell]
Sr 0.0000 0.0000 0.0000 [4 per cell]
Zn 0.0000 0.0000 0.5000 [4 per cell]

---

It is *x* that is the least stable of them.

---

*w*
The following is a PBE-GGA calculation of a relaxed CsTa crystal, from Alexandria via LeMat-Bulk.

As for the crystal system: tetragonal.

abc: 7.8460 7.8460 7.6461
angles: 90.00 90.00 90.00
Space group P4_2/mnm (No. 136)
Symmetry-distinct sites (fractional):
Cs 0.1711 0.1711 0.0000 [4 per cell]
Ta 0.1013 0.1013 0.5000 [4 per cell]

---

*x*
The following is a PBE-GGA calculation of a relaxed CsTa crystal, from Alexandria via LeMat-Bulk.

As for the crystal system: tetragonal.

abc: 16.3136 16.3136 3.2462
angles: 90.00 90.00 90.00
Space group I4/m (No. 87)
Symmetry-distinct sites (fractional):
Cs 0.0296 0.7460 0.0000 [8 per cell]
Ta 0.1902 0.2497 0.0000 [8 per cell]

---

*y*
The following is a PBE-GGA calculation of a relaxed CsTa crystal, from Alexandria via LeMat-Bulk.

As for the crystal system: orthorhombic.

abc: 3.4053 3.8604 11.7033
angles: 90.00 90.00 90.00
Space group Pmmn (No. 59, origin choice 2)
Symmetry-distinct sites (fractional):
Cs 0.2500 0.2500 0.2042 [2 per cell]
Ta 0.2500 0.7500 0.4600 [2 per cell]

---

*z*
The following is a PBE-GGA calculation of a relaxed CsTa crystal, from Alexandria via LeMat-Bulk.

As for the crystal system: cubic.

abc: 6.3454 6.3454 6.3454
angles: 90.00 90.00 90.00
Space group F-43m (No. 216)
Symmetry-distinct sites (fractional):
Cs 0.0000 0.0000 0.0000 [4 per cell]
Ta 0.2500 0.2500 0.7500 [4 per cell]

---

It is *z* that is the least stable of them.